Entry 1:
Below is a relaxed SrTbAgCl6 crystal, with properties calculated at the PBE level.

POSCAR file:
```
SrTbAgCl6
1.0
-3.496 4.935 3.363
-3.321 -5.589 -2.369
2.212 -6.057 11.188
Sr Cl Tb Ag
2 12 2 2
Cartesian
1.106 -3.029 5.594
0.000 0.000 0.000
-1.549 -2.385 4.515
-4.282 2.172 3.976
-4.165 -1.144 2.157
-4.774 -0.982 5.912
-0.323 -8.884 8.206
-3.608 -7.584 9.560
-3.063 -7.655 5.867
-0.440 -5.568 10.025
-1.541 0.943 6.315
-0.996 0.872 2.622
-3.056 -4.327 7.667
0.169 -5.729 6.270
-2.884 -0.087 4.249
-1.720 -6.624 7.933
-1.778 -3.116 9.843
-2.826 -3.596 2.338
```

Output
SG = No. 163
total magnetization = 0.00 μB per formula unit
ΔE_f (raw) = -1.928 eV per atom
E_tot = -75.20 eV for the cell shown

Entry 2:
Below is a relaxed SrAgTeCl crystal, with properties calculated at the PBE level.

POSCAR file:
```
SrAgTeCl
1.0
-1.497 4.424 0.288
-4.391 -1.521 0.551
1.310 -0.200 9.893
Te Ag Cl Sr
2 2 2 2
Cartesian
-1.118 -0.925 8.413
-0.516 2.177 1.899
-2.944 1.451 0.419
0.000 0.000 0.000
-2.289 1.351 5.366
0.655 -0.100 4.947
0.145 2.076 6.890
-1.779 -0.824 3.422
```

Output
SG = No. 129
total magnetization = 0.00 μB per formula unit
ΔE_f (raw) = -1.365 eV per atom
E_tot = -29.96 eV for the cell shown

Entry 3:
Below is a relaxed SrThAg2Cl8 crystal, with properties calculated at the PBE level.

POSCAR file:
```
SrThAg2Cl8
1.0
-5.389 3.133 -2.508
1.930 -3.873 -5.533
-4.690 -7.396 0.877
Cl Ag Th Sr
8 2 1 1
Cartesian
-0.399 -4.658 -4.306
-5.213 0.526 -3.162
-2.081 -1.137 -5.775
-4.465 -5.056 -5.151
-2.936 -8.663 -4.001
-3.684 -3.080 -2.013
-7.750 -3.478 -2.858
-6.068 -6.999 -1.389
-5.320 -4.965 -2.680
-2.829 -3.172 -4.484
0.000 0.000 0.000
-2.345 -3.698 0.438
```

Output
SG = No. 2
total magnetization = 0.00 μB per formula unit
ΔE_f (raw) = -1.642 eV per atom
E_tot = -49.28 eV for the cell shown

Entry 4:
Below is a relaxed SrTl2AgCl crystal, with properties calculated at the PBE level.

POSCAR file:
```
SrTl2AgCl
1.0
5.378 0.000 0.000
0.000 5.994 0.000
0.000 0.000 5.378
Ag Cl Tl Sr
1 1 2 1
Cartesian
0.000 0.000 0.000
0.000 2.997 0.000
2.689 0.000 0.000
0.000 0.000 2.689
2.689 2.997 2.689
```

Output
SG = No. 123
total magnetization = 0.00 μB per formula unit
ΔE_f (raw) = -0.217 eV per atom
E_tot = -12.20 eV for the cell shown

Entry 5:
Below is a relaxed SrTlAgCl6 crystal, with properties calculated at the PBE level.

POSCAR file:
```
SrTlAgCl6
1.0
-1.303 -4.786 -4.285
1.048 -4.472 4.677
-12.006 0.463 3.134
Ag Cl Sr Tl
2 12 2 2
Cartesian
-8.028 0.310 2.095
-2.152 -4.551 0.724
-3.964 -2.532 1.129
-8.249 -2.474 2.251
-8.351 -6.154 2.407
-6.824 -4.498 -1.068
-12.135 -5.885 3.390
-1.589 -4.451 3.462
-10.702 -4.338 0.182
-12.040 -2.450 3.245
-9.339 -4.156 5.374
-4.071 -6.426 1.293
-5.345 -4.301 4.569
-3.005 -4.640 -1.938
-6.093 -4.399 1.753
-11.969 0.462 3.124
-3.997 0.154 1.043
-10.128 -4.243 2.806
```

Output
SG = No. 102
total magnetization = 0.00 μB per formula unit
ΔE_f (raw) = -1.198 eV per atom
E_tot = -57.53 eV for the cell shown

Entry 6:
Below is a relaxed SrTlAgCl4 crystal, with properties calculated at the PBE level.

POSCAR file:
```
SrTlAgCl4
1.0
-0.970 7.099 0.551
-5.474 -0.390 -4.612
-4.876 -4.226 6.145
Cl Ag Sr Tl
8 2 2 2
Cartesian
-5.023 5.519 0.024
-5.218 2.397 -2.366
-8.936 -3.225 -0.163
-6.297 -3.037 2.060
-3.859 1.889 1.635
-6.102 0.085 4.450
-7.461 0.593 0.449
-2.384 5.708 2.247
-5.559 2.385 3.611
-5.761 0.097 -1.527
-7.050 3.374 -0.275
-4.271 -0.892 2.359
-9.415 0.977 2.735
-1.906 1.506 -0.651
```

Output
SG = No. 11
total magnetization = 0.00 μB per formula unit
ΔE_f (raw) = -1.447 eV per atom
E_tot = -48.82 eV for the cell shown

Entry 7:
Below is a relaxed SrTlAg2Cl8 crystal, with properties calculated at the PBE level.

POSCAR file:
```
SrTlAg2Cl8
1.0
-1.101 -3.424 5.752
6.465 -0.067 0.466
-0.222 6.926 4.080
Cl Sr Ag Tl
8 1 2 1
Cartesian
4.712 4.761 4.444
4.834 0.964 2.207
0.307 2.472 8.090
1.285 5.748 6.163
3.767 1.205 6.085
0.429 -1.326 5.854
1.375 2.231 4.213
3.856 -2.312 4.135
-0.111 3.463 2.040
2.515 3.466 6.179
2.627 -0.031 4.119
0.000 0.000 0.000
```

Output
SG = No. 10
total magnetization = 0.00 μB per formula unit
ΔE_f (raw) = -0.973 eV per atom
E_tot = -36.20 eV for the cell shown

Entry 8:
Below is a relaxed SrZrAg2Cl8 crystal, with properties calculated at the PBE level.

POSCAR file:
```
SrZrAg2Cl8
1.0
-1.208 5.502 -3.545
-6.216 -0.965 2.835
0.249 4.474 7.120
Cl Ag Zr Sr
8 2 1 1
Cartesian
-1.550 6.046 6.463
-4.942 3.661 7.694
-2.234 5.349 -1.284
-2.335 8.011 2.742
-5.626 2.964 -0.053
-4.841 0.999 3.667
-1.961 3.878 2.501
-5.215 5.132 3.908
-2.693 5.670 4.244
-4.483 3.340 2.166
0.000 0.000 0.000
0.124 2.237 3.560
```

Output
SG = No. 2
total magnetization = 0.00 μB per formula unit
ΔE_f (raw) = -1.489 eV per atom
E_tot = -48.58 eV for the cell shown

Entry 9:
Below is a relaxed TaAgCl4 crystal, with properties calculated at the PBE level.

POSCAR file:
```
TaAgCl4
1.0
0.000 4.044 4.044
4.044 0.000 4.044
4.044 4.044 0.000
Cl Ta Ag
4 1 1
Cartesian
5.051 5.051 5.051
5.051 3.038 3.038
3.038 3.038 5.051
3.038 5.051 3.038
2.022 2.022 2.022
0.000 0.000 0.000
```

Output
SG = No. 216
total magnetization = 1.68 μB per formula unit
ΔE_f (raw) = 1.068 eV per atom
E_tot = -15.68 eV for the cell shown

Entry 10:
Below is a relaxed Ta3AgCl crystal, with properties calculated at the PBE level.

POSCAR file:
```
Ta3AgCl
1.0
4.976 0.000 0.000
0.000 4.976 0.000
0.000 0.000 4.976
Ag Ta Cl
1 3 1
Cartesian
0.000 0.000 0.000
2.488 0.000 0.000
0.000 2.488 0.000
0.000 0.000 2.488
2.488 2.488 2.488
```

Output
SG = No. 221
total magnetization = 0.00 μB per formula unit
ΔE_f (raw) = 2.171 eV per atom
E_tot = -29.40 eV for the cell shown

Entry 11:
Below is a relaxed TaAgCl2 crystal, with properties calculated at the PBE level.

POSCAR file:
```
TaAgCl2
1.0
-1.698 -6.386 6.072
1.543 -6.392 6.108
-0.094 -4.248 7.905
Ta Cl Ag
1 2 1
Cartesian
-0.124 -8.537 10.071
-0.058 -3.951 4.661
-0.004 -0.256 0.302
-0.186 -12.794 15.093
```

Output
SG = No. 160
total magnetization = 0.00 μB per formula unit
ΔE_f (raw) = -0.288 eV per atom
E_tot = -19.55 eV for the cell shown

Entry 12:
Below is a relaxed TaAgCl2 crystal, with properties calculated at the PBE level.

POSCAR file:
```
TaAgCl2
1.0
-1.730 -1.560 -2.019
1.889 -2.422 0.253
-4.603 -2.939 6.215
Ag Cl Ta
1 2 1
Cartesian
-3.329 -4.168 3.720
-4.328 -2.764 5.844
-1.370 -2.917 1.075
-2.320 -1.482 3.133
```

Output
SG = No. 99
total magnetization = 0.16 μB per formula unit
ΔE_f (raw) = -0.150 eV per atom
E_tot = -19.00 eV for the cell shown